Record 1
KHoMnTe3 | PBE | optimized geometry

- theoretical density (kg/m3) = 4990
- DFT total energy (eV/atom) = -5.00
- M_tot (Bohr magnetons per cell) = 9.99
- calculated volume (Å³/cell) = 427
- formation energy (no corrections) (kJ per mole of atoms) = -93

Lattice parameters (Å, degrees): 4.4535 9.6523 10.4563 108.15 90.00 90.00
Last column: nearest neighbours and their distance in Å.
Sites, in units of the cell vectors:
Te (0.2500, 0.1084, 0.8667)  1 Mn 2.66
Te (0.2500, 0.7843, 0.4636)  3 Mn 2.77-2.81
Te (0.7500, 0.8916, 0.1333)  1 Mn 2.66
Ho (0.7500, 0.3309, 0.8600)  6 Te 3.05-3.22
K (0.7500, 0.7933, 0.7622)  7 Te 3.56-3.81
K (0.2500, 0.2067, 0.2378)  7 Te 3.56-3.81
Te (0.7500, 0.2157, 0.5364)  3 Mn 2.77-2.81
Mn (0.2500, 0.0839, 0.6058)  4 Te 2.66-2.81
Te (0.2500, 0.5395, 0.8346)  3 Ho 3.05-3.07
Te (0.7500, 0.4605, 0.1654)  3 Ho 3.05-3.07
Ho (0.2500, 0.6691, 0.1400)  6 Te 3.05-3.22
Mn (0.7500, 0.9161, 0.3942)  4 Te 2.66-2.81



Record 2
KHoMoN3 | PBE | optimized geometry

- theoretical density (kg/m3) = 5687
- DFT total energy (eV/atom) = -7.48
- M_tot (Bohr magnetons per cell) = 0.00
- calculated volume (Å³/cell) = 200
- formation energy (no corrections) (kJ per mole of atoms) = -55

Lattice parameters (Å, degrees): 3.8803 7.0129 7.8726 103.48 90.00 106.06
Last column: nearest neighbours and their distance in Å.
Sites, in units of the cell vectors:
K (0.3514, 0.7028, 0.9294)  6 N 2.86-3.17
Mo (0.0061, 0.0122, 0.3214)  4 N 1.89-2.05
N (0.1626, 0.3251, 0.3681)  1 Mo 2.05
K (0.6486, 0.2972, 0.0706)  6 N 2.86-3.17
N (0.8644, 0.7289, 0.2170)  1 Mo 1.89
N (0.5123, 0.0246, 0.3462)  2 Mo 1.95
Ho (0.6618, 0.3236, 0.5810)  5 N 2.30-2.57
N (0.8374, 0.6749, 0.6319)  1 Mo 2.05
Ho (0.3382, 0.6764, 0.4190)  5 N 2.30-2.57
Mo (0.9939, 0.9878, 0.6786)  4 N 1.89-2.05
N (0.4877, 0.9754, 0.6538)  2 Mo 1.95
N (0.1356, 0.2711, 0.7830)  1 Mo 1.89